Computed, not measured: a geometry-optimized PrSnTe structure at the PBE-GGA level of DFT.

Cell lengths 5.1104, 5.1104, 26.6154 Å; angles 90.00, 90.00, 120.00 degrees
Space group R-3m (No. 166, hexagonal axes)
One atom of each set of equivalent atoms:
Pr 0.0000 0.0000 0.0805 x6
Sn 0.0000 0.0000 0.3504 x6
Te 0.0000 0.0000 0.2098 x6

DOS(E_F) (states/eV/cell): 7.116
E (eV per atom): -4.7626